DFT (GGA-PBEsol) results for crystalline AlTe2Rh at its relaxed geometry.

Results
For the total energy, the calculation gives -20.11 eV per cell.

The structure in extended XYZ format:
```
4
Lattice="1.9920 1.1501 6.3017 -1.9920 1.1501 6.3017 0.0000 -2.3001 6.3017" Properties=species:S:1:pos:R:3 pbc="T T T"
Al 0.0000 0.0000 0.0000
Te 0.0000 0.0000 4.5450
Te 0.0000 0.0000 14.3600
Rh 0.0000 0.0000 9.4525
```